First-principles (PBE) data for crystalline KHfS2 at its relaxed geometry, as listed in Alexandria via LeMat-Bulk. Values from VASP.

```
&SYSTEM
  ibrav = 0, nat = 8, ntyp = 3
/
ATOMIC_SPECIES
K 39.10 K.upf
Hf 178.49 Hf.upf
S 32.06 S.upf
CELL_PARAMETERS angstrom
6.343 0.000 0.000
0.000 3.618 0.000
-0.790 0.000 8.658
ATOMIC_POSITIONS crystal
K 0.235 0.250 0.374
K 0.765 0.750 0.626
Hf 0.344 0.250 0.883
Hf 0.656 0.750 0.117
S 0.257 0.750 0.076
S 0.267 0.750 0.678
S 0.733 0.250 0.322
S 0.743 0.250 0.924
```

Results
Magnetization: 0.1196 μB/atom
Space-group type: P2_1/m, No. 11
Uncorrected energy: -49.67 eV/cell
N(E_F): 0.5563 states/eV/atom
Calculated volume: 24.8 Å³ per atom